Record 1
# PBE-GGA ThIn2SnTe4, optimized geometry
data_ThIn2SnTe4
_chemical_formula_sum 'Th1 In2 Sn1 Te4'
_symmetry_space_group_name_H-M 'P 1'
_symmetry_Int_Tables_number 1
_symmetry_space_group_name_Hall 'P 1'
_cell_length_a 4.564
_cell_length_b 8.359
_cell_length_c 7.946
_cell_angle_alpha 72.07
_cell_angle_beta 90.00
_cell_angle_gamma 90.00
loop_
_atom_site_label
_atom_site_type_symbol
_atom_site_fract_x
_atom_site_fract_y
_atom_site_fract_z
_atom_site_occupancy
Th1 Th 0.000 0.500 0.500 1
In1 In 0.000 0.000 0.000 1
In2 In 0.500 0.000 0.500 1
Sn1 Sn 0.500 0.500 0.000 1
Te1 Te 0.000 0.725 0.749 1
Te2 Te 0.000 0.275 0.251 1
Te3 Te 0.500 0.724 0.265 1
Te4 Te 0.500 0.276 0.735 1
# Formation energy (no corrections) in eV per atom: -0.59
# Space group: P2/m, No. 10

=====

Record 2
# PBE-GGA Fe3SnOs, optimized geometry
data_Fe3SnOs
_chemical_formula_sum 'Fe3 Sn1 Os1'
_symmetry_space_group_name_H-M 'P 1'
_symmetry_Int_Tables_number 1
_symmetry_space_group_name_Hall 'P 1'
_cell_length_a 4.693
_cell_length_b 4.693
_cell_length_c 4.693
_cell_angle_alpha 90.00
_cell_angle_beta 90.00
_cell_angle_gamma 90.00
loop_
_atom_site_label
_atom_site_type_symbol
_atom_site_fract_x
_atom_site_fract_y
_atom_site_fract_z
_atom_site_occupancy
Os1 Os 0.000 0.000 0.000 1
Sn1 Sn 0.500 0.500 0.500 1
Fe1 Fe 0.000 0.500 0.000 1
Fe2 Fe 0.000 0.000 0.500 1
Fe3 Fe 0.500 0.000 0.000 1
# Energy of formation from the pure elements in eV per atom: 1.24
# D(E_F) in states/eV/f.u.: 7.0
# Space group: Pm-3m, No. 221

=====

Record 3
# PBE-GGA CaNb3H, optimized geometry
data_CaNb3H
_chemical_formula_sum 'Ca1 Nb3 H1'
_symmetry_space_group_name_H-M 'P 1'
_symmetry_Int_Tables_number 1
_symmetry_space_group_name_Hall 'P 1'
_cell_length_a 4.395
_cell_length_b 4.395
_cell_length_c 4.395
_cell_angle_alpha 90.00
_cell_angle_beta 90.00
_cell_angle_gamma 90.00
loop_
_atom_site_label
_atom_site_type_symbol
_atom_site_fract_x
_atom_site_fract_y
_atom_site_fract_z
_atom_site_occupancy
H1 H 0.000 0.000 0.000 1
Nb1 Nb 0.000 0.500 0.000 1
Nb2 Nb 0.000 0.000 0.500 1
Nb3 Nb 0.500 0.000 0.000 1
Ca1 Ca 0.500 0.500 0.500 1
# D(E_F) in states/eV/f.u.: 5.6
# Space group: Pm-3m, No. 221

=====

Ordered total energy results: -4.275 -6.889 -6.664; unit eV/atom.